[1]
Compound: Dy19Tm6Sc4
Source: the Alexandria database
Functional: PBE
Structure: relaxed

a b c (Å): 10.6237 10.6237 10.6239
angles (deg): 109.47 109.47 109.47
Closest atoms and distances in Å follow each position.
Atoms (fractional coordinates):
Dy 0.7389 0.7389 0.0000  5 Dy 3.20-3.49, 2 Sc 3.24, 2 Tm 3.33
Dy 0.7885 0.9841 0.3268  1 Tm 3.16, 2 Sc 3.30-3.38, 2 Dy 3.31-3.49
Dy 0.3426 0.0159 0.8043  1 Tm 3.16, 2 Sc 3.30-3.38, 2 Dy 3.31-3.49
Dy 0.0000 0.0000 0.0000  6 Dy 3.20
Dy 0.3268 0.7885 0.9841  1 Tm 3.16, 2 Sc 3.30-3.38, 2 Dy 3.31-3.49
Dy 0.7389 0.0000 0.7389  5 Dy 3.20-3.49, 2 Sc 3.24, 2 Tm 3.33
Dy 0.5383 0.1957 0.2115  1 Tm 3.16, 2 Sc 3.30-3.38, 2 Dy 3.31-3.49
Dy 0.2611 0.0000 0.2611  5 Dy 3.20-3.49, 2 Sc 3.24, 2 Tm 3.33
Dy 0.4617 0.6732 0.6574  1 Tm 3.16, 2 Sc 3.30-3.38, 2 Dy 3.31-3.49
Dy 0.0000 0.7389 0.7389  5 Dy 3.20-3.49, 2 Sc 3.24, 2 Tm 3.33
Dy 0.1957 0.2115 0.5383  1 Tm 3.16, 2 Sc 3.30-3.38, 2 Dy 3.31-3.49
Dy 0.0159 0.8043 0.3426  1 Tm 3.16, 2 Sc 3.30-3.38, 2 Dy 3.31-3.49
Dy 0.6732 0.6574 0.4617  1 Tm 3.16, 2 Sc 3.30-3.38, 2 Dy 3.31-3.49
Dy 0.2115 0.5383 0.1957  1 Tm 3.16, 2 Sc 3.30-3.38, 2 Dy 3.31-3.49
Dy 0.8043 0.3426 0.0159  1 Tm 3.16, 2 Sc 3.30-3.38, 2 Dy 3.31-3.49
Dy 0.6574 0.4617 0.6732  1 Tm 3.16, 2 Sc 3.30-3.38, 2 Dy 3.31-3.49
Dy 0.2611 0.2611 0.0000  5 Dy 3.20-3.49, 2 Sc 3.24, 2 Tm 3.33
Dy 0.9841 0.3268 0.7885  1 Tm 3.16, 2 Sc 3.30-3.38, 2 Dy 3.31-3.49
Dy 0.0000 0.2611 0.2611  5 Dy 3.20-3.49, 2 Sc 3.24, 2 Tm 3.33
Tm 0.5000 0.8716 0.3716  1 Tm 3.15, 4 Dy 3.16-3.33
Tm 0.6284 0.5000 0.1284  1 Tm 3.15, 4 Dy 3.16-3.33
Tm 0.5000 0.1284 0.6284  1 Tm 3.15, 4 Dy 3.16-3.33
Tm 0.8716 0.3716 0.5000  1 Tm 3.15, 4 Dy 3.16-3.33
Tm 0.3716 0.5000 0.8716  1 Tm 3.15, 4 Dy 3.16-3.33
Tm 0.1284 0.6284 0.5000  1 Tm 3.15, 4 Dy 3.16-3.33
Sc 0.3538 0.3538 0.3538  9 Dy 3.24-3.38
Sc 0.6462 0.0000 0.0000  9 Dy 3.24-3.38
Sc 0.0000 0.6462 0.0000  9 Dy 3.24-3.38
Sc 0.0000 0.0000 0.6462  9 Dy 3.24-3.38

Calculated values
E_form: 0.39 eV/atom
symmetry: No. 197
D(E_F): 50.2 states/eV/f.u.

---

[2]
Compound: Pu2ScBr6
Source: the Alexandria database
Functional: PBE
Structure: relaxed

a b c (Å): 3.9690 8.1720 10.2444
angles (deg): 110.45 90.00 104.05
Closest atoms and distances in Å follow each position.
Atoms (fractional coordinates):
Pu 0.6690 0.3380 0.8385  6 Br 2.95-2.98
Pu 0.3310 0.6621 0.1615  6 Br 2.95-2.98
Br 0.6874 0.3748 0.1358  3 Pu 2.95-2.96
Br 0.6276 0.2551 0.5303  2 Sc 2.77, 1 Pu 2.98
Br 0.3126 0.6252 0.8642  3 Pu 2.95-2.96
Br 0.0201 0.0403 0.7775  1 Sc 2.74, 2 Pu 2.97
Br 0.3724 0.7449 0.4697  2 Sc 2.77, 1 Pu 2.98
Br 0.9798 0.9597 0.2225  1 Sc 2.74, 2 Pu 2.97
Sc 0.0000 0.0000 0.5000  6 Br 2.74-2.77

Calculated values
symmetry: No. 12
D(E_F): 20.3 states/eV/f.u.
formation energy without anion corrections: -13.1 eV per formula unit

---

[3]
Compound: Ti2Nb6Re
Source: the Alexandria database
Functional: PBE
Structure: relaxed

a b c (Å): 4.5993 8.1527 8.4559
angles (deg): 90.00 90.00 90.00
Closest atoms and distances in Å follow each position.
Atoms (fractional coordinates):
Nb 0.5000 0.8319 0.0693  1 Re 2.77, 3 Ti 2.80-3.03, 6 Nb 2.82-3.00
Nb 0.5000 0.8354 0.4088  2 Re 2.77, 4 Ti 2.79-3.05, 5 Nb 2.84-3.09
Nb 0.5000 0.1646 0.5912  2 Re 2.77, 4 Ti 2.79-3.05, 5 Nb 2.84-3.09
Nb 0.0000 0.6681 0.5693  1 Re 2.77, 3 Ti 2.80-3.03, 6 Nb 2.82-3.00
Nb 0.5000 0.4991 0.3228  1 Re 2.73, 3 Ti 2.76-2.77, 4 Nb 2.82-3.00
Nb 0.0000 0.9991 0.1771  1 Re 2.73, 3 Ti 2.76-2.77, 4 Nb 2.82-3.00
Nb 0.5000 0.5009 0.6772  1 Re 2.73, 3 Ti 2.76-2.77, 4 Nb 2.82-3.00
Nb 0.0000 0.3319 0.4307  1 Re 2.77, 3 Ti 2.80-3.03, 6 Nb 2.82-3.00
Nb 0.5000 0.1681 0.9307  1 Re 2.77, 3 Ti 2.80-3.03, 6 Nb 2.82-3.00
Nb 0.0000 0.3354 0.0911  2 Re 2.77, 4 Ti 2.79-3.05, 5 Nb 2.84-3.09
Nb 0.0000 0.0009 0.8229  1 Re 2.73, 3 Ti 2.76-2.77, 4 Nb 2.82-3.00
Nb 0.0000 0.6646 0.9089  2 Re 2.77, 4 Ti 2.79-3.05, 5 Nb 2.84-3.09
Ti 0.0000 0.6654 0.2384  10 Nb 2.76-3.05
Ti 0.5000 0.1654 0.2615  10 Nb 2.76-3.05
Ti 0.5000 0.8346 0.7385  10 Nb 2.76-3.05
Ti 0.0000 0.3346 0.7616  10 Nb 2.76-3.05
Re 0.5000 0.5000 0.0000  8 Nb 2.73-2.77
Re 0.0000 0.0000 0.5000  8 Nb 2.73-2.77

Calculated values
E_form: -0.03 eV/atom
symmetry: No. 58
D(E_F): 11.2 states/eV/f.u.
energy above the lowest structure with this stoichiometry: 0 meV per atom

---

[4]
Compound: YBeIr2Pb
Source: the Alexandria database
Functional: PBE
Structure: relaxed

a b c (Å): 5.0762 4.9745 5.0762
angles (deg): 90.00 90.00 90.00
Closest atoms and distances in Å follow each position.
Atoms (fractional coordinates):
Be 0.0000 0.5000 0.0000  2 Y 2.49
Ir 0.5000 0.0000 0.0000  2 Y 2.54
Ir 0.0000 0.0000 0.5000  2 Y 2.54
Y 0.0000 0.0000 0.0000  2 Be 2.49, 4 Ir 2.54
Pb 0.5000 0.5000 0.5000  8 Ir 3.55, 4 Be 3.59

Calculated values
E_form: 1.49 eV/atom
symmetry: No. 123
D(E_F): 4.3 states/eV/f.u.

---

Number 1: uncorrected energy -4.424 eV per atom, magnetic moment 0.00 μB/f.u.. Number 2: uncorrected energy -6.464 eV per atom, magnetic moment 13.01 μB/f.u.. Number 3: uncorrected energy -9.883 eV per atom, magnetic moment 0.00 μB/f.u.. Number 4: uncorrected energy -4.839 eV per atom, magnetic moment 0.00 μB/f.u..